(1)
Entry from the Alexandria database: a relaxed Tm3PtAu2 crystal (PBE-GGA). Values from VASP.

The structure in Quantum ESPRESSO input format:
```
&SYSTEM
  ibrav = 0, nat = 12, ntyp = 3
/
ATOMIC_SPECIES
Au 196.97 Au.upf
Tm 168.93 Tm.upf
Pt 195.08 Pt.upf
ATOMIC_POSITIONS angstrom
Au 2.914 4.064 2.138
Tm -0.015 0.000 1.922
Pt 0.009 2.032 0.000
Tm 2.885 2.030 4.300
Tm 2.915 6.094 4.301
Au 2.886 0.000 2.137
Tm 0.015 4.064 1.923
Tm 2.890 6.096 0.001
Au -0.014 2.030 4.085
Tm 2.910 2.032 0.000
Pt 5.791 6.096 0.001
Au 0.014 6.094 4.086
CELL_PARAMETERS angstrom
5.800 0.000 0.000
0.000 8.128 0.001
-2.900 -2.034 6.222
```

## Properties
**Uncorrected energy**: -0.1939 Ha/atom
**Space-group type**: C2/c
**Energy of formation**: -941 meV/atom
**Crystal system**: monoclinic

---

(2)
Entry from the Alexandria database: a relaxed ThCd2Ge crystal (PBE-GGA). Values from VASP.

The structure in Quantum ESPRESSO input format:
```
&SYSTEM
  ibrav = 0, nat = 4, ntyp = 3
/
ATOMIC_SPECIES
Th 232.04 Th.upf
Ge 72.64 Ge.upf
Cd 112.41 Cd.upf
ATOMIC_POSITIONS angstrom
Th 0.000 0.000 0.000
Ge 3.272 1.889 5.608
Cd 4.908 2.834 3.263
Cd 1.636 0.945 7.953
CELL_PARAMETERS angstrom
3.272 0.000 0.000
1.636 2.834 0.000
1.636 0.945 11.216
```

## Properties
**Uncorrected energy**: -0.1156 Ha/atom
**Space-group type**: R-3m
**Energy of formation**: 321 meV/atom
**Crystal system**: trigonal

---

(3)
Entry from the Alexandria database: a relaxed K3HoPu2Se6 crystal (PBE-GGA). Values from VASP.

The structure in Quantum ESPRESSO input format:
```
&SYSTEM
  ibrav = 0, nat = 12, ntyp = 4
/
ATOMIC_SPECIES
Se 78.96 Se.upf
K 39.10 K.upf
Ho 164.93 Ho.upf
Pu 244.00 Pu.upf
ATOMIC_POSITIONS angstrom
Se -0.013 -0.022 6.085
Se 3.673 2.149 6.085
K -2.453 4.254 3.827
Se -1.216 2.106 1.569
Se 2.470 4.277 1.569
Ho 0.000 0.000 0.000
K 4.910 0.001 3.827
Pu 0.001 4.256 0.000
K 1.229 2.128 3.827
Se 2.432 -0.001 1.569
Se 0.026 4.256 6.085
Pu 3.686 2.127 0.000
CELL_PARAMETERS angstrom
7.372 -0.001 0.000
-3.685 6.384 0.000
-1.229 -2.128 7.653
```

## Properties
**Uncorrected energy**: -0.2331 Ha/atom
**Space-group type**: C2/m
**Crystal system**: monoclinic